Below is a geometry-optimized Tb4HoRu5 structure, with properties calculated at the GGA-PBE level.

Results
crystal system	tetragonal
SG	P4/mmm (123)
calculated formation energy	-301	meV/atom

a = 3.410 Å, b = 3.410 Å, c = 17.003 Å
α = 90.00°, β = 90.00°, γ = 90.00°
Element x y z (fractional)
Tb: 0.000 0.000 0.100
Tb: 0.000 0.000 0.301
Tb: 0.000 0.000 0.699
Tb: 0.000 0.000 0.900
Ho: 0.000 0.000 0.500
Ru: 0.500 0.500 0.000
Ru: 0.500 0.500 0.201
Ru: 0.500 0.500 0.401
Ru: 0.500 0.500 0.599
Ru: 0.500 0.500 0.799

***

Below is a geometry-optimized YLuCdGa structure, with properties calculated at the GGA-PBE level.

Results
crystal system	cubic
SG	F-43m (216)
calculated formation energy	-437	meV/atom

a = 5.132 Å, b = 5.132 Å, c = 5.132 Å
α = 60.00°, β = 60.00°, γ = 60.00°
Element x y z (fractional)
Y: 0.000 0.000 0.000
Lu: 0.500 0.500 0.500
Cd: 0.750 0.750 0.750
Ga: 0.250 0.250 0.250

***

Below is a geometry-optimized KPO4 structure, with properties calculated at the GGA-PBE level.

Results
crystal system	monoclinic
SG	P2_1/m (11)
E_form (uncorrected)	-152.5	kJ per mole of atoms

a = 5.522 Å, b = 5.482 Å, c = 7.800 Å
α = 90.00°, β = 94.22°, γ = 90.00°
Element x y z (fractional)
K: 0.196 0.250 0.199
K: 0.804 0.750 0.801
P: 0.324 0.250 0.741
P: 0.676 0.750 0.259
O: 0.224 0.034 0.841
O: 0.224 0.466 0.841
O: 0.250 0.250 0.547
O: 0.396 0.750 0.258
O: 0.604 0.250 0.742
O: 0.750 0.750 0.453
O: 0.776 0.534 0.159
O: 0.776 0.966 0.159

***

Below is a geometry-optimized LaAlHg structure, with properties calculated at the GGA-PBE level.

Results
crystal system	cubic
SG	F-43m (216)
calculated formation energy	81	meV/atom

a = 5.126 Å, b = 5.126 Å, c = 5.126 Å
α = 60.00°, β = 60.00°, γ = 60.00°
Element x y z (fractional)
La: 0.000 0.000 0.000
Al: 0.250 0.250 0.250
Hg: 0.750 0.750 0.750

***

Below is a geometry-optimized Mg3AsN structure, with properties calculated at the GGA-PBE level.

Results
crystal system	triclinic
SG	P-1 (2)
E_form (uncorrected)	-59.2	kJ per mole of atoms

a = 4.234 Å, b = 5.997 Å, c = 6.963 Å
α = 114.81°, β = 95.99°, γ = 90.36°
Element x y z (fractional)
Mg: 0.000 0.000 0.000
Mg: 0.000 0.500 0.000
Mg: 0.006 0.242 0.496
Mg: 0.488 0.147 0.791
Mg: 0.512 0.853 0.209
Mg: 0.994 0.758 0.504
As: 0.435 0.639 0.771
As: 0.565 0.361 0.229
N: 0.022 0.874 0.253
N: 0.978 0.126 0.747

***

Below is a geometry-optimized TiHgN2 structure, with properties calculated at the GGA-PBE level.

Results
crystal system	tetragonal
SG	I-42d (122)
E_form (uncorrected)	-32.5	kJ per mole of atoms

a = 5.885 Å, b = 5.885 Å, c = 5.885 Å
α = 129.69°, β = 129.69°, γ = 73.90°
Element x y z (fractional)
Ti: 0.000 0.000 0.000
Ti: 0.750 0.250 0.500
Hg: 0.250 0.750 0.500
Hg: 0.500 0.500 0.000
N: 0.055 0.625 0.930
N: 0.375 0.305 0.430
N: 0.695 0.125 0.070
N: 0.875 0.945 0.570

***

Below is a geometry-optimized AuIO2F structure, with properties calculated at the GGA-PBE level.

Results
crystal system	tetragonal
SG	P4/mmm (123)
E_form (uncorrected)	9.5	kJ per mole of atoms

a = 4.041 Å, b = 4.041 Å, c = 5.144 Å
α = 90.00°, β = 90.00°, γ = 90.00°
Element x y z (fractional)
Au: 0.000 0.000 0.000
I: 0.500 0.500 0.500
O: 0.000 0.500 0.500
O: 0.500 0.000 0.500
F: 0.500 0.500 0.000

***

Below is a geometry-optimized SmEr3Ni structure, with properties calculated at the GGA-PBE level.

Results
offset from the most stable computed form	93	meV per atom
crystal system	cubic
SG	Pm-3m (221)
calculated formation energy	-81	meV/atom

a = 5.274 Å, b = 5.274 Å, c = 5.274 Å
α = 90.00°, β = 90.00°, γ = 90.00°
Element x y z (fractional)
Sm: 0.000 0.000 0.000
Er: 0.000 0.500 0.500
Er: 0.500 0.000 0.500
Er: 0.500 0.500 0.000
Ni: 0.500 0.500 0.500

***

Below is a geometry-optimized Li4HPb2 structure, with properties calculated at the GGA-PBE level.

Results
crystal system	tetragonal
SG	I4/mmm (139)
total energy	-2.850	eV per atom

a = 7.974 Å, b = 7.974 Å, c = 7.974 Å
α = 150.62°, β = 150.62°, γ = 42.03°
Element x y z (fractional)
Li: 0.000 0.500 0.500
Li: 0.131 0.131 0.000
Li: 0.500 0.000 0.500
Li: 0.869 0.869 0.000
H: 0.000 0.000 0.000
Pb: 0.327 0.327 0.000
Pb: 0.673 0.673 0.000

***

Below is a geometry-optimized Cr2In2C structure, with properties calculated at the GGA-PBE level.

Results
crystal system	tetragonal
SG	I4/mmm (139)
calculated formation energy	1247	meV/atom

a = 8.150 Å, b = 8.150 Å, c = 8.150 Å
α = 157.52°, β = 157.52°, γ = 32.00°
Element x y z (fractional)
Cr: 0.250 0.750 0.500
Cr: 0.750 0.250 0.500
In: 0.093 0.093 0.000
In: 0.907 0.907 0.000
C: 0.500 0.500 0.000

***

Below is a geometry-optimized CeIr2Rh structure, with properties calculated at the GGA-PBE level.

Results
crystal system	trigonal
SG	R-3m (166)
calculated formation energy	-124	meV/atom

a = 4.707 Å, b = 4.707 Å, c = 4.707 Å
α = 58.66°, β = 58.66°, γ = 58.66°
Element x y z (fractional)
Ce: 0.000 0.000 0.000
Ir: 0.271 0.271 0.271
Ir: 0.729 0.729 0.729
Rh: 0.500 0.500 0.500

***

Below is a geometry-optimized Te2IrBr structure, with properties calculated at the GGA-PBE level.

Results
offset from the most stable computed form	219	meV per atom
crystal system	monoclinic
SG	C2/c (15)
E_form (uncorrected)	-4.4	kJ per mole of atoms

a = 7.365 Å, b = 7.365 Å, c = 17.194 Å
α = 94.77°, β = 94.77°, γ = 111.28°
Element x y z (fractional)
Te: 0.018 0.982 0.750
Te: 0.061 0.164 0.577
Te: 0.089 0.469 0.745
Te: 0.164 0.061 0.077
Te: 0.193 0.554 0.049
Te: 0.391 0.609 0.250
Te: 0.446 0.807 0.451
Te: 0.469 0.089 0.245
Te: 0.531 0.911 0.755
Te: 0.554 0.193 0.549
Te: 0.609 0.391 0.750
Te: 0.807 0.446 0.951
Te: 0.836 0.939 0.923
Te: 0.911 0.531 0.255
Te: 0.939 0.836 0.423
Te: 0.982 0.018 0.250
Ir: 0.065 0.336 0.163
Ir: 0.167 0.781 0.169
Ir: 0.219 0.833 0.331
Ir: 0.336 0.065 0.663
Ir: 0.664 0.935 0.337
Ir: 0.781 0.167 0.669
Ir: 0.833 0.219 0.831
Ir: 0.935 0.664 0.837
Br: 0.153 0.717 0.594
Br: 0.283 0.847 0.906
Br: 0.380 0.392 0.890
Br: 0.392 0.380 0.390
Br: 0.608 0.620 0.610
Br: 0.620 0.608 0.110
Br: 0.717 0.153 0.094
Br: 0.847 0.283 0.406